No. 1
# Pm3Dy5Zr12

A geometry-optimized Pm3Dy5Zr12 structure (GGA-PBE, Alexandria via LeMat-Bulk).

DFT total energy, eV for the cell shown: -460.7
Calculated formation energy, eV/atom: 1.233

Cell lengths 15.4879, 15.4879, 15.4879 Å; angles 109.47, 109.47, 109.47 degrees
Last column: nearest neighbours and their distance in Å.
Atoms (fractional coordinates):
Zr 0.4256 0.1532 0.5654  3 Zr 2.91-3.06, 1 Dy 3.00, 2 Pm 3.05-3.16
Zr 0.2276 0.5878 0.6532  3 Zr 2.91-3.06, 1 Dy 3.00, 2 Pm 3.05-3.16
Zr 0.0654 0.9256 0.1532  3 Zr 2.91-3.06, 1 Dy 3.00, 2 Pm 3.05-3.16
Zr 0.5744 0.8468 0.4346  3 Zr 2.91-3.06, 1 Dy 3.00, 2 Pm 3.05-3.16
Zr 0.0744 0.1398 0.2276  3 Zr 2.91-3.06, 1 Dy 3.00, 2 Pm 3.05-3.16
Zr 0.2724 0.8468 0.9122  3 Zr 2.91-3.06, 1 Dy 3.00, 2 Pm 3.05-3.16
Zr 0.1398 0.0744 0.7276  3 Zr 2.91-3.06, 1 Dy 3.00, 2 Pm 3.05-3.16
Zr 0.0654 0.1398 0.4122  3 Zr 2.91-3.06, 1 Dy 3.00, 2 Pm 3.05-3.16
Zr 0.5878 0.3602 0.9346  3 Zr 2.91-3.06, 1 Dy 3.00, 2 Pm 3.05-3.16
Zr 0.4346 0.3468 0.5744  3 Zr 2.91-3.06, 1 Dy 3.00, 2 Pm 3.05-3.16
Zr 0.5654 0.6532 0.4256  3 Zr 2.91-3.06, 1 Dy 3.00, 2 Pm 3.05-3.16
Zr 0.5744 0.7276 0.6398  3 Zr 2.91-3.06, 1 Dy 3.00, 2 Pm 3.05-3.16
Zr 0.7276 0.1532 0.0878  3 Zr 2.91-3.06, 1 Dy 3.00, 2 Pm 3.05-3.16
Zr 0.2276 0.6398 0.0744  3 Zr 2.91-3.06, 1 Dy 3.00, 2 Pm 3.05-3.16
Zr 0.9122 0.5654 0.1398  3 Zr 2.91-3.06, 1 Dy 3.00, 2 Pm 3.05-3.16
Zr 0.3602 0.5878 0.4346  3 Zr 2.91-3.06, 1 Dy 3.00, 2 Pm 3.05-3.16
Zr 0.4122 0.7724 0.8468  3 Zr 2.91-3.06, 1 Dy 3.00, 2 Pm 3.05-3.16
Zr 0.3602 0.7724 0.4256  3 Zr 2.91-3.06, 1 Dy 3.00, 2 Pm 3.05-3.16
Zr 0.9256 0.0654 0.6532  3 Zr 2.91-3.06, 1 Dy 3.00, 2 Pm 3.05-3.16
Zr 0.1398 0.0654 0.9122  3 Zr 2.91-3.06, 1 Dy 3.00, 2 Pm 3.05-3.16
Zr 0.4122 0.6398 0.0654  3 Zr 2.91-3.06, 1 Dy 3.00, 2 Pm 3.05-3.16
Zr 0.6398 0.4122 0.5654  3 Zr 2.91-3.06, 1 Dy 3.00, 2 Pm 3.05-3.16
Zr 0.1532 0.4256 0.0654  3 Zr 2.91-3.06, 1 Dy 3.00, 2 Pm 3.05-3.16
Zr 0.8468 0.5744 0.9346  3 Zr 2.91-3.06, 1 Dy 3.00, 2 Pm 3.05-3.16
Zr 0.4346 0.0878 0.3602  3 Zr 2.91-3.06, 1 Dy 3.00, 2 Pm 3.05-3.16
Zr 0.8602 0.9346 0.0878  3 Zr 2.91-3.06, 1 Dy 3.00, 2 Pm 3.05-3.16
Zr 0.0878 0.4346 0.8602  3 Zr 2.91-3.06, 1 Dy 3.00, 2 Pm 3.05-3.16
Zr 0.6398 0.2276 0.5744  3 Zr 2.91-3.06, 1 Dy 3.00, 2 Pm 3.05-3.16
Zr 0.9122 0.3468 0.2724  3 Zr 2.91-3.06, 1 Dy 3.00, 2 Pm 3.05-3.16
Zr 0.0744 0.9346 0.3468  3 Zr 2.91-3.06, 1 Dy 3.00, 2 Pm 3.05-3.16
Zr 0.5878 0.2276 0.1532  3 Zr 2.91-3.06, 1 Dy 3.00, 2 Pm 3.05-3.16
Zr 0.7276 0.5744 0.1398  3 Zr 2.91-3.06, 1 Dy 3.00, 2 Pm 3.05-3.16
Zr 0.6532 0.0878 0.2276  3 Zr 2.91-3.06, 1 Dy 3.00, 2 Pm 3.05-3.16
Zr 0.9346 0.8602 0.5878  3 Zr 2.91-3.06, 1 Dy 3.00, 2 Pm 3.05-3.16
Zr 0.2724 0.4256 0.8602  3 Zr 2.91-3.06, 1 Dy 3.00, 2 Pm 3.05-3.16
Zr 0.8602 0.9256 0.2724  3 Zr 2.91-3.06, 1 Dy 3.00, 2 Pm 3.05-3.16
Zr 0.8468 0.2724 0.4122  3 Zr 2.91-3.06, 1 Dy 3.00, 2 Pm 3.05-3.16
Zr 0.3468 0.9122 0.7724  3 Zr 2.91-3.06, 1 Dy 3.00, 2 Pm 3.05-3.16
Zr 0.1532 0.7276 0.5878  3 Zr 2.91-3.06, 1 Dy 3.00, 2 Pm 3.05-3.16
Zr 0.9346 0.0744 0.8468  3 Zr 2.91-3.06, 1 Dy 3.00, 2 Pm 3.05-3.16
Zr 0.7724 0.4122 0.3468  3 Zr 2.91-3.06, 1 Dy 3.00, 2 Pm 3.05-3.16
Zr 0.7724 0.3602 0.9256  3 Zr 2.91-3.06, 1 Dy 3.00, 2 Pm 3.05-3.16
Zr 0.4256 0.2724 0.3602  3 Zr 2.91-3.06, 1 Dy 3.00, 2 Pm 3.05-3.16
Zr 0.5654 0.9122 0.6398  3 Zr 2.91-3.06, 1 Dy 3.00, 2 Pm 3.05-3.16
Zr 0.0878 0.6532 0.7276  3 Zr 2.91-3.06, 1 Dy 3.00, 2 Pm 3.05-3.16
Zr 0.3468 0.4346 0.0744  3 Zr 2.91-3.06, 1 Dy 3.00, 2 Pm 3.05-3.16
Zr 0.6532 0.5654 0.9256  3 Zr 2.91-3.06, 1 Dy 3.00, 2 Pm 3.05-3.16
Zr 0.9256 0.8602 0.7724  3 Zr 2.91-3.06, 1 Dy 3.00, 2 Pm 3.05-3.16
Dy 0.2500 0.8750 0.1250  4 Zr 3.33
Dy 0.0000 0.5000 0.5000  6 Zr 3.00
Dy 0.0000 0.0000 0.5000  6 Zr 3.00
Dy 0.5000 0.0000 0.5000  6 Zr 3.00
Dy 0.8750 0.6250 0.7500  4 Zr 3.33
Dy 0.7500 0.6250 0.3750  4 Zr 3.33
Dy 0.3750 0.1250 0.7500  4 Zr 3.33
Dy 0.3750 0.2500 0.1250  4 Zr 3.33
Dy 0.0000 0.0000 0.0000  6 Zr 3.00
Dy 0.6250 0.8750 0.2500  4 Zr 3.33
Dy 0.1250 0.7500 0.3750  4 Zr 3.33
Dy 0.5000 0.5000 0.5000  6 Zr 3.00
Dy 0.8750 0.2500 0.6250  4 Zr 3.33
Dy 0.7500 0.1250 0.8750  4 Zr 3.33
Dy 0.0000 0.5000 0.0000  6 Zr 3.00
Dy 0.1250 0.3750 0.2500  4 Zr 3.33
Dy 0.6250 0.7500 0.8750  4 Zr 3.33
Dy 0.5000 0.0000 0.0000  6 Zr 3.00
Dy 0.2500 0.3750 0.6250  4 Zr 3.33
Dy 0.5000 0.5000 0.0000  6 Zr 3.00
Pm 0.8750 0.7500 0.1250  8 Zr 3.05-3.16
Pm 0.1250 0.8750 0.7500  8 Zr 3.05-3.16
Pm 0.7500 0.8750 0.6250  8 Zr 3.05-3.16
Pm 0.1250 0.2500 0.8750  8 Zr 3.05-3.16
Pm 0.6250 0.2500 0.3750  8 Zr 3.05-3.16
Pm 0.2500 0.1250 0.3750  8 Zr 3.05-3.16
Pm 0.3750 0.6250 0.2500  8 Zr 3.05-3.16
Pm 0.6250 0.3750 0.7500  8 Zr 3.05-3.16
Pm 0.2500 0.6250 0.8750  8 Zr 3.05-3.16
Pm 0.3750 0.7500 0.6250  8 Zr 3.05-3.16
Pm 0.7500 0.3750 0.1250  8 Zr 3.05-3.16
Pm 0.8750 0.1250 0.2500  8 Zr 3.05-3.16

=====

No. 2
# AgSn3As

A geometry-optimized AgSn3As structure (GGA-PBE, Alexandria via LeMat-Bulk).

DFT total energy, eV for the cell shown: -16.5
Calculated formation energy, eV/atom: 0.595

Cell lengths 5.4431, 5.4431, 5.4431 Å; angles 90.00, 90.00, 90.00 degrees
Last column: nearest neighbours and their distance in Å.
Atoms (fractional coordinates):
Sn 0.0000 0.0000 0.5000  2 As 2.72
Sn 0.0000 0.5000 0.0000  2 As 2.72
Sn 0.5000 0.0000 0.0000  2 As 2.72
Ag 0.5000 0.5000 0.5000  12 Sn 3.85
As 0.0000 0.0000 0.0000  6 Sn 2.72

=====

No. 3
# LaFeRu2S

A geometry-optimized LaFeRu2S structure (GGA-PBE, Alexandria via LeMat-Bulk).

DFT total energy, eV for the cell shown: -34.8
ΔE_f (raw), eV per atom: 0.254

Cell lengths 4.5084, 4.5644, 4.5084 Å; angles 90.00, 90.00, 90.00 degrees
Last column: nearest neighbours and their distance in Å.
Atoms (fractional coordinates):
Ru 0.5000 0.0000 0.0000  2 Fe 2.25
Ru 0.0000 0.0000 0.5000  2 Fe 2.25
La 0.5000 0.5000 0.5000  4 S 3.19, 8 Ru 3.21
S 0.0000 0.5000 0.0000  2 Fe 2.28
Fe 0.0000 0.0000 0.0000  4 Ru 2.25, 2 S 2.28

=====

No. 4
# LiCo2TcAu

A geometry-optimized LiCo2TcAu structure (GGA-PBE, Alexandria via LeMat-Bulk).

DFT total energy, eV for the cell shown: -22.8
Calculated formation energy, eV/atom: 1.392

Cell lengths 4.6861, 4.2645, 4.6861 Å; angles 90.00, 90.00, 90.00 degrees
Last column: nearest neighbours and their distance in Å.
Atoms (fractional coordinates):
Co 0.5000 0.0000 0.0000  2 Au 2.34
Co 0.0000 0.0000 0.5000  2 Au 2.34
Li 0.0000 0.5000 0.0000  2 Au 2.13
Au 0.0000 0.0000 0.0000  2 Li 2.13, 4 Co 2.34
Tc 0.5000 0.5000 0.5000  8 Co 3.17, 4 Li 3.31

=====

No. 5
# LaCrTc

A geometry-optimized LaCrTc structure (GGA-PBE, Alexandria via LeMat-Bulk).

DFT total energy, eV for the cell shown: -24.0
Calculated formation energy, eV/atom: 0.294

Cell lengths 6.3259, 6.3259, 6.3259 Å; angles 151.53, 151.53, 40.70 degrees
Last column: nearest neighbours and their distance in Å.
Atoms (fractional coordinates):
La 0.3344 0.3344 0.0000  4 La 3.11, 4 Cr 3.25, 4 Tc 3.28
Tc 0.6290 0.6290 0.0000  4 Cr 2.46
Cr 0.0365 0.0365 0.0000  4 Tc 2.46

=====

No. 6
# LiTcGePd

A geometry-optimized LiTcGePd structure (GGA-PBE, Alexandria via LeMat-Bulk).

DFT total energy, eV for the cell shown: -23.0
Calculated formation energy, eV/atom: -0.238

Cell lengths 4.2539, 4.2539, 4.2539 Å; angles 60.00, 60.00, 60.00 degrees
Last column: nearest neighbours and their distance in Å.
Atoms (fractional coordinates):
Li 0.7500 0.7500 0.7500  4 Tc 2.60, 4 Pd 2.60
Ge 0.2500 0.2500 0.2500  4 Tc 2.60, 4 Pd 2.60
Tc 0.0000 0.0000 0.0000  4 Ge 2.60, 4 Li 2.60
Pd 0.5000 0.5000 0.5000  4 Ge 2.60, 4 Li 2.60

=====

Number 1: D(E_F) 1.62 states/eV per atom. Number 2: D(E_F) 0.70 states/eV per atom. Number 3: D(E_F) 1.23 states/eV per atom. Number 4: D(E_F) 1.37 states/eV per atom. Number 5: D(E_F) 1.09 states/eV per atom. Number 6: D(E_F) 0.76 states/eV per atom.